The following is a PBE calculation of an optimized crystal structure of BaFeCu2, from Alexandria.

Cell lengths 4.8911, 4.8911, 8.9451 Å; angles 74.13, 74.13, 90.00 degrees
Each line ends with the local moment (μB).
Atoms (fractional coordinates):
Ba 0.0000 0.0000 0.0000  -0.07
Ba 0.7500 0.2500 0.5000  -0.07
Cu 0.3752 0.1250 0.2500  0.10
Cu 0.3748 0.6250 0.2500  0.10
Cu 0.3750 0.6248 0.7500  0.11
Cu 0.8750 0.6252 0.7500  0.09
Fe 0.5000 0.5000 0.0000  2.70
Fe 0.2500 0.7500 0.5000  2.70

V (A^3/atom): 24.669
SG: I4_1/amd, No. 141
Formation energy (eV/atom): 0.424
Uncorrected energy (eV/atom): -4.2205